(1)
# La4PrSc2, optimized geometry, DFT PBE-GGA
# Energy relative to the elements in eV/atom: 0.20
# Fermi-level density of states in states/eV/cell: 19.921
# Size of the total moment in μB/atom: 0.000
# Space group: No. 15
# DFT total energy in hartree per atom: -0.1877
data_La4PrSc2
_symmetry_space_group_name_H-M 'P 1'
_symmetry_Int_Tables_number 1
_cell_length_a 8.0434
_cell_length_b 8.0434
_cell_length_c 16.8435
_cell_angle_alpha 90.83
_cell_angle_beta 90.83
_cell_angle_gamma 154.06
loop_
_symmetry_equiv_pos_as_xyz
'x,y,z'
loop_
_atom_site_label
_atom_site_type_symbol
_atom_site_fract_x
_atom_site_fract_y
_atom_site_fract_z
La1 La 0.1067 0.7457 0.9241
La2 La 0.2543 0.8933 0.5759
La3 La 0.2991 0.4038 0.5800
La4 La 0.4038 0.2991 0.0800
La5 La 0.5962 0.7009 0.9200
La6 La 0.7009 0.5962 0.4200
La7 La 0.7457 0.1067 0.4241
La8 La 0.8933 0.2543 0.0759
Pr1 Pr 0.3112 0.6888 0.7500
Pr2 Pr 0.6888 0.3112 0.2500
Sc1 Sc 0.0132 0.9868 0.2500
Sc2 Sc 0.3634 0.6366 0.2500
Sc3 Sc 0.6366 0.3634 0.7500
Sc4 Sc 0.9868 0.0132 0.7500

***

(2)
# La3Pr4Sc, optimized geometry, DFT PBE-GGA
# ΔE to the lowest computed polymorph in eV per atom: 0.0838
# Energy relative to the elements in eV/atom: 0.11
# Fermi-level density of states in states/eV/cell: 23.384
# Size of the total moment in μB/atom: 0.000
# Space group: No. 71
# DFT total energy in hartree per atom: -0.1807
data_La3Pr4Sc
_symmetry_space_group_name_H-M 'P 1'
_symmetry_Int_Tables_number 1
_cell_length_a 3.5754
_cell_length_b 11.9345
_cell_length_c 13.2620
_cell_angle_alpha 90.00
_cell_angle_beta 90.00
_cell_angle_gamma 90.00
loop_
_symmetry_equiv_pos_as_xyz
'x,y,z'
loop_
_atom_site_label
_atom_site_type_symbol
_atom_site_fract_x
_atom_site_fract_y
_atom_site_fract_z
La1 La 0.0000 0.0000 0.0000
La2 La 0.0000 0.5000 0.2366
La3 La 0.0000 0.5000 0.7634
La4 La 0.5000 0.0000 0.2634
La5 La 0.5000 0.0000 0.7366
La6 La 0.5000 0.5000 0.5000
Pr1 Pr 0.0000 0.2448 0.3685
Pr2 Pr 0.0000 0.2448 0.6315
Pr3 Pr 0.0000 0.7552 0.3685
Pr4 Pr 0.0000 0.7552 0.6315
Pr5 Pr 0.5000 0.2552 0.1315
Pr6 Pr 0.5000 0.2552 0.8685
Pr7 Pr 0.5000 0.7448 0.1315
Pr8 Pr 0.5000 0.7448 0.8685
Sc1 Sc 0.0000 0.0000 0.5000
Sc2 Sc 0.5000 0.5000 0.0000

***

(3)
# La4Pr15Sc, optimized geometry, DFT PBE-GGA
# Energy relative to the elements in eV/atom: 0.02
# Fermi-level density of states in states/eV/cell: 32.416
# Size of the total moment in μB/atom: 0.000
# Space group: No. 123
# DFT total energy in hartree per atom: -0.1788
data_La4Pr15Sc
_symmetry_space_group_name_H-M 'P 1'
_symmetry_Int_Tables_number 1
_cell_length_a 5.2386
_cell_length_b 5.2386
_cell_length_c 26.0973
_cell_angle_alpha 90.00
_cell_angle_beta 90.00
_cell_angle_gamma 90.00
loop_
_symmetry_equiv_pos_as_xyz
'x,y,z'
loop_
_atom_site_label
_atom_site_type_symbol
_atom_site_fract_x
_atom_site_fract_y
_atom_site_fract_z
La1 La 0.0000 0.0000 0.1013
La2 La 0.0000 0.0000 0.3032
La3 La 0.0000 0.0000 0.6968
La4 La 0.0000 0.0000 0.8987
Pr1 Pr 0.0000 0.5000 0.0000
Pr2 Pr 0.0000 0.5000 0.2022
Pr3 Pr 0.0000 0.5000 0.4050
Pr4 Pr 0.0000 0.5000 0.5950
Pr5 Pr 0.0000 0.5000 0.7978
Pr6 Pr 0.5000 0.0000 0.0000
Pr7 Pr 0.5000 0.0000 0.2022
Pr8 Pr 0.5000 0.0000 0.4050
Pr9 Pr 0.5000 0.0000 0.5950
Pr10 Pr 0.5000 0.0000 0.7978
Pr11 Pr 0.5000 0.5000 0.1011
Pr12 Pr 0.5000 0.5000 0.3041
Pr13 Pr 0.5000 0.5000 0.5000
Pr14 Pr 0.5000 0.5000 0.6959
Pr15 Pr 0.5000 0.5000 0.8989
Sc1 Sc 0.0000 0.0000 0.5000

***

(4)
# LaPr10Sc4, optimized geometry, DFT PBE-GGA
# Energy relative to the elements in eV/atom: 0.50
# Fermi-level density of states in states/eV/cell: 26.275
# Size of the total moment in μB/atom: 0.091
# Space group: No. 87
# DFT total energy in hartree per atom: -0.1728
data_LaPr10Sc4
_symmetry_space_group_name_H-M 'P 1'
_symmetry_Int_Tables_number 1
_cell_length_a 9.3452
_cell_length_b 9.3452
_cell_length_c 9.3452
_cell_angle_alpha 98.36
_cell_angle_beta 98.36
_cell_angle_gamma 135.18
loop_
_symmetry_equiv_pos_as_xyz
'x,y,z'
loop_
_atom_site_label
_atom_site_type_symbol
_atom_site_fract_x
_atom_site_fract_y
_atom_site_fract_z
La1 La 0.0000 0.0000 0.0000
Pr1 Pr 0.0371 0.6464 0.1521
Pr2 Pr 0.1150 0.9629 0.6093
Pr3 Pr 0.2500 0.7500 0.5000
Pr4 Pr 0.3536 0.5057 0.3907
Pr5 Pr 0.4943 0.8850 0.8479
Pr6 Pr 0.5057 0.1150 0.1521
Pr7 Pr 0.6464 0.4943 0.6093
Pr8 Pr 0.7500 0.2500 0.5000
Pr9 Pr 0.8850 0.0371 0.3907
Pr10 Pr 0.9629 0.3536 0.8479
Sc1 Sc 0.3189 0.4314 0.7502
Sc2 Sc 0.4314 0.6811 0.1125
Sc3 Sc 0.5686 0.3189 0.8875
Sc4 Sc 0.6811 0.5686 0.2498

***

The highest Fermi-level density of states belongs to which entry? La4Pr15Sc

***

Number 2 is which compound? La3Pr4Sc

***

Among the records above, which one has the highest DFT total energy? LaPr10Sc4

***

What did the first record say?
# La4PrSc2, optimized geometry, DFT PBE-GGA
# Energy relative to the elements in eV/atom: 0.20
# Fermi-level density of states in states/eV/cell: 19.921
# Size of the total moment in μB/atom: 0.000
# Space group: No. 15
# DFT total energy in hartree per atom: -0.1877
data_La4PrSc2
_symmetry_space_group_name_H-M 'P 1'
_symmetry_Int_Tables_number 1
_cell_length_a 8.0434
_cell_length_b 8.0434
_cell_length_c 16.8435
_cell_angle_alpha 90.83
_cell_angle_beta 90.83
_cell_angle_gamma 154.06
loop_
_symmetry_equiv_pos_as_xyz
'x,y,z'
loop_
_atom_site_label
_atom_site_type_symbol
_atom_site_fract_x
_atom_site_fract_y
_atom_site_fract_z
La1 La 0.1067 0.7457 0.9241
La2 La 0.2543 0.8933 0.5759
La3 La 0.2991 0.4038 0.5800
La4 La 0.4038 0.2991 0.0800
La5 La 0.5962 0.7009 0.9200
La6 La 0.7009 0.5962 0.4200
La7 La 0.7457 0.1067 0.4241
La8 La 0.8933 0.2543 0.0759
Pr1 Pr 0.3112 0.6888 0.7500
Pr2 Pr 0.6888 0.3112 0.2500
Sc1 Sc 0.0132 0.9868 0.2500
Sc2 Sc 0.3634 0.6366 0.2500
Sc3 Sc 0.6366 0.3634 0.7500
Sc4 Sc 0.9868 0.0132 0.7500